Record 1
A plane-wave DFT calculation with PBE-GGA was carried out for Hg3Au5 after structural relaxation.

Lattice parameters (Å, degrees): 8.4795 8.4800 5.3523 90.00 90.00 120.00
Last column: nearest neighbours and their distance in Å.
Fractional coordinates of all 16 atoms:
1 Hg 0.6073 0.0000 0.2500  8 Au 2.88-3.14
2 Au 0.1982 0.1982 0.7500  4 Hg 2.88-3.14, 6 Au 2.91-3.16
3 Au 0.3333 0.6667 0.0000  2 Au 2.68, 6 Hg 2.93
4 Au 0.1982 0.0000 0.2500  4 Hg 2.88-3.14, 6 Au 2.91-3.16
5 Au 0.3333 0.6667 0.5000  2 Au 2.68, 6 Hg 2.93
6 Au 0.8018 0.0000 0.7500  4 Hg 2.88-3.14, 6 Au 2.91-3.16
7 Au 0.0000 0.8018 0.7500  4 Hg 2.88-3.14, 6 Au 2.91-3.16
8 Hg 0.6073 0.6073 0.7500  8 Au 2.88-3.14
9 Hg 0.0000 0.6073 0.2500  8 Au 2.88-3.14
10 Au 0.6667 0.3333 0.0000  2 Au 2.68, 6 Hg 2.93
11 Hg 0.3927 0.3927 0.2500  8 Au 2.88-3.14
12 Au 0.6667 0.3333 0.5000  2 Au 2.68, 6 Hg 2.93
13 Au 0.0000 0.1982 0.2500  4 Hg 2.88-3.14, 6 Au 2.91-3.16
14 Hg 0.3927 0.0000 0.7500  8 Au 2.88-3.14
15 Hg 0.0000 0.3927 0.7500  8 Au 2.88-3.14
16 Au 0.8018 0.8018 0.2500  4 Hg 2.88-3.14, 6 Au 2.91-3.16

Properties
* symmetry: P6_3/mcm, No. 193
* mass density: 15.8 g/cm³
* total energy: -2.0311 eV per atom
* M_tot: 0.0 μB per formula unit
* volume: 20.8 Å³ per atom
* energy relative to the lowest polymorph listed for this composition: 37 kJ/mol of formula units
* ΔE_f: 0.13 eV per atom



Record 2
A plane-wave DFT calculation with PBE-GGA was carried out for HgAu8 after structural relaxation.

Lattice parameters (Å, degrees): 4.1833 6.6433 6.6433 84.31 71.65 71.65
Last column: nearest neighbours and their distance in Å.
Fractional coordinates of all 9 atoms:
1 Au 0.6649 0.3351 0.3351  11 Au 2.94-2.97, 1 Hg 2.99
2 Au 0.3351 0.6649 0.6649  11 Au 2.94-2.97, 1 Hg 2.99
3 Au 0.0000 0.3351 0.6649  11 Au 2.94-2.97, 1 Hg 2.99
4 Au 0.0000 0.6649 0.3351  11 Au 2.94-2.97, 1 Hg 2.99
5 Hg 0.0000 0.0000 0.0000  12 Au 2.98-2.99
6 Au 0.3317 0.0000 0.3367  10 Au 2.94-3.00, 2 Hg 2.98
7 Au 0.6683 0.0000 0.6633  10 Au 2.94-3.00, 2 Hg 2.98
8 Au 0.3317 0.3367 0.0000  10 Au 2.94-3.00, 2 Hg 2.98
9 Au 0.6683 0.6633 0.0000  10 Au 2.94-3.00, 2 Hg 2.98

Properties
* symmetry: I4/mmm, No. 139
* mass density: 17.7 g/cm³
* total energy: -2.9176 eV per atom
* M_tot: 0.0 μB per formula unit
* volume: 18.5 Å³ per atom
* energy relative to the lowest polymorph listed for this composition: 0 kJ/mol of formula units
* ΔE_f: 0.03 eV per atom



Record 3
A plane-wave DFT calculation with PBE-GGA was carried out for HgAu2 after structural relaxation.

Lattice parameters (Å, degrees): 10.2592 10.2592 10.2592 159.83 159.83 28.68
Last column: nearest neighbours and their distance in Å.
Fractional coordinates of all 6 atoms:
1 Au 0.3230 0.8230 0.5000  3 Au 2.74-2.90, 4 Hg 2.93
2 Au 0.1770 0.6770 0.5000  3 Au 2.74-2.90, 4 Hg 2.93
3 Hg 0.7500 0.2500 0.5000  8 Au 2.93
4 Hg 0.0000 0.0000 0.0000  8 Au 2.93
5 Au 0.4270 0.4270 0.0000  3 Au 2.74-2.90, 4 Hg 2.93
6 Au 0.5730 0.5730 0.0000  3 Au 2.74-2.90, 4 Hg 2.93

Properties
* symmetry: I4_1/amd, No. 141
* mass density: 15.4 g/cm³
* total energy: -2.1471 eV per atom
* M_tot: 0.0 μB per formula unit
* volume: 21.4 Å³ per atom
* ΔE_f: 0.14 eV per atom



Record 4
A plane-wave DFT calculation with PBE-GGA was carried out for HgAu2 after structural relaxation.

Lattice parameters (Å, degrees): 4.9845 4.9845 2.8851 90.00 90.00 90.00
Last column: nearest neighbours and their distance in Å.
Fractional coordinates of all 3 atoms:
1 Au 0.5000 0.0000 0.5000  4 Hg 2.88, 2 Au 2.89
2 Hg 0.0000 0.0000 0.0000  8 Au 2.88, 2 Hg 2.89
3 Au 0.0000 0.5000 0.5000  4 Hg 2.88, 2 Au 2.89

Properties
* symmetry: P4/mmm, No. 123
* mass density: 13.8 g/cm³
* total energy: -2.0423 eV per atom
* M_tot: 0.0 μB per formula unit
* volume: 23.9 Å³ per atom
* ΔE_f: 0.24 eV per atom



Record 5
A plane-wave DFT calculation with PBE-GGA was carried out for HgAu3 after structural relaxation.

Lattice parameters (Å, degrees): 3.0982 4.8947 5.0169 90.00 90.00 90.00
Last column: nearest neighbours and their distance in Å.
Fractional coordinates of all 4 atoms:
1 Hg 0.0000 0.5000 0.3416  10 Au 2.94-3.02, 2 Hg 3.10
2 Au 0.5000 0.5000 0.8429  4 Hg 2.94-2.95, 8 Au 2.99-3.10
3 Au 0.5000 0.0000 0.4948  8 Au 2.92-3.10, 4 Hg 3.00
4 Au 0.0000 0.0000 0.9874  10 Au 2.92-3.10, 2 Hg 3.02

Properties
* symmetry: Pmm2, No. 25
* mass density: 17.3 g/cm³
* total energy: -2.4683 eV per atom
* M_tot: 0.0 μB per formula unit
* volume: 19.0 Å³ per atom
* ΔE_f: 0.07 eV per atom



Record 6
A plane-wave DFT calculation with PBE-GGA was carried out for HgAu2 after structural relaxation.

Lattice parameters (Å, degrees): 5.9265 5.9265 10.6165 137.28 137.28 29.55
Last column: nearest neighbours and their distance in Å.
Fractional coordinates of all 6 atoms:
1 Au 0.5101 0.5101 0.4215  6 Au 2.90-3.02, 5 Hg 2.92-3.24
2 Hg 0.7431 0.7431 0.0605  8 Au 2.92-3.24, 3 Hg 3.02-3.22
3 Au 0.0993 0.0993 0.7197  9 Au 2.90-3.24, 3 Hg 3.00-3.04
4 Au 0.3452 0.3452 0.6692  9 Au 2.90-3.24, 3 Hg 3.00-3.04
5 Au 0.9343 0.9343 0.9674  6 Au 2.90-3.02, 5 Hg 2.92-3.24
6 Hg 0.7013 0.7013 0.3284  8 Au 2.92-3.24, 3 Hg 3.02-3.22

Properties
* symmetry: C2/m, No. 12
* mass density: 16.5 g/cm³
* total energy: -2.2216 eV per atom
* M_tot: 0.0 μB per formula unit
* volume: 19.9 Å³ per atom
* ΔE_f: 0.06 eV per atom